# MnCo2Mo (meta-GGA SCAN, PBEsol geometry)
data_MnCo2Mo
_symmetry_space_group_name_H-M 'P 1'
_symmetry_Int_Tables_number 1
_cell_length_a 4.305
_cell_length_b 4.305
_cell_length_c 4.445
_cell_angle_alpha 98.83
_cell_angle_beta 98.83
_cell_angle_gamma 34.06
loop_
_symmetry_equiv_pos_as_xyz
'x,y,z'
loop_
_atom_site_label
_atom_site_fract_x
_atom_site_fract_y
_atom_site_fract_z
_atom_site_occupancy
Mn1 0.000 0.000 0.000 1
Co1 0.488 0.488 0.445 1
Co2 0.739 0.739 0.190 1
Mo1 0.242 0.242 0.695 1
# **Magnetization**: 0.00 μB/cell
# **Calculated total energy**: -21.6174 eV/atom
# **Distance to the lowest polymorph of the same formula**: 250.9 meV per atom
# **Calculated density**: 9.8 g/cm³
# **E_form**: 0.3198 eV/atom